First-principles (PBE-GGA) data for an optimized crystal structure of Ba6Li5Cd, as listed in the Alexandria database.

Cell lengths 6.164, 8.826, 9.764 Å; angles 90.00, 108.46, 90.00 degrees
Fractional coordinates of all 12 atoms:
Ba 0.839 0.756 0.677
Ba 0.161 0.756 0.323
Ba 0.500 0.762 0.000
Ba 0.500 0.238 0.000
Ba 0.161 0.244 0.323
Ba 0.839 0.244 0.677
Li 0.670 0.000 0.341
Li 0.332 0.500 0.664
Li 0.330 0.000 0.659
Li 0.668 0.500 0.336
Li 0.000 0.500 0.000
Cd 0.000 0.000 0.000

Calculated values
Total DFT energy (no corrections), eV per atom: -1.86